TiCr3Pb | meta-GGA SCAN | single point on PBEsol structure

Lattice parameters (Å, degrees): 4.9970 4.9970 4.9970 90.00 90.00 90.00
Last column: magnetic moment on the atom in μB.
Positions (direct):
Pb 0.0000 0.0000 0.0000  0.03
Cr 0.0000 0.5000 0.0000  3.89
Cr 0.0000 0.0000 0.5000  3.89
Cr 0.5000 0.0000 0.0000  3.89
Ti 0.5000 0.5000 0.5000  -1.87

Calculated values
Formation energy ... 1399 meV per atom

---

LaSb2Au | meta-GGA SCAN | single point on PBEsol structure

Lattice parameters (Å, degrees): 4.4195 4.4195 10.3399 90.00 90.00 90.00
Positions (direct):
Sb 0.0000 0.0000 0.5000
Sb 0.5000 0.5000 0.5000
Sb 0.0000 0.5000 0.8276
Sb 0.5000 0.0000 0.1724
Au 0.0000 0.0000 0.0000
Au 0.5000 0.5000 0.0000
La 0.0000 0.5000 0.2517
La 0.5000 0.0000 0.7483

Calculated values
Calculated total energy ... -47.582 eV per atom

---

Fe3Ir | meta-GGA SCAN | single point on PBEsol structure

Lattice parameters (Å, degrees): 4.1030 4.1030 4.1030 60.00 60.00 60.00
Last column: magnetic moment on the atom in μB.
Positions (direct):
Ir 0.0000 0.0000 0.0000  0.73
Fe 0.2500 0.2500 0.2500  3.00
Fe 0.5000 0.5000 0.5000  2.82
Fe 0.7500 0.7500 0.7500  3.00

Calculated values
Formation energy ... -206 meV per atom

---

Looking at total magnetization for the records above, in order, we have 10.85 0.00 9.40 Bohr magnetons per cell.